# 1
Mg5Be | PBE | relaxed

Unit cell a=5.3296 b=5.3296 c=4.8723 alpha=90.00 beta=90.00 gamma=120.00
Last column: nearest neighbours and their distance in Å.
Atoms (fractional coordinates):
Mg: 0.0000 0.6842 0.0000  10 Mg 2.91-3.16, 2 Be 2.96
Mg: 0.3158 0.3158 0.0000  10 Mg 2.91-3.16, 2 Be 2.96
Mg: 0.3333 0.6667 0.5000  9 Mg 3.04-3.08, 3 Be 3.08
Mg: 0.6667 0.3333 0.5000  9 Mg 3.04-3.08, 3 Be 3.08
Mg: 0.6842 0.0000 0.0000  10 Mg 2.91-3.16, 2 Be 2.96
Be: 0.0000 0.0000 0.5000  12 Mg 2.96-3.08

energy relative to the elements = 0.19 eV/atom
ΔE to the lowest computed polymorph = 58 meV/atom
magnetization = 0.00 μB/f.u.
SG = P-62m, No. 189
volume = 119.9 Å³/f.u.
crystal system = hexagonal

# 2
Mn2RhW | PBE | relaxed

Unit cell a=4.5627 b=4.5627 c=4.5627 alpha=130.72 beta=130.72 gamma=72.27
Last column: nearest neighbours and their distance in Å.
Atoms (fractional coordinates):
Mn: 0.2500 0.7500 0.5000  4 W 2.65, 4 Rh 2.65, 4 Mn 2.69
Mn: 0.7500 0.2500 0.5000  4 W 2.65, 4 Rh 2.65, 4 Mn 2.69
Rh: 0.0000 0.0000 0.0000  8 Mn 2.65, 4 W 2.69
W: 0.5000 0.5000 0.0000  8 Mn 2.65, 4 Rh 2.69

energy relative to the elements = 0.07 eV/atom
ΔE to the lowest computed polymorph = 83 meV/atom
magnetization = 2.77 μB/f.u.
SG = I4/mmm, No. 139
volume = 53.3 Å³/f.u.
crystal system = tetragonal

# 3
SrCu4Pd8 | PBE | relaxed

Unit cell a=6.8804 b=6.8804 c=6.8804 alpha=97.60 beta=97.60 gamma=137.33
Last column: nearest neighbours and their distance in Å.
Atoms (fractional coordinates):
Sr: 0.0000 0.0000 0.0000  12 Pd 3.19-3.21, 8 Cu 3.44
Cu: 0.0000 0.0000 0.5000  2 Cu 2.50, 8 Pd 2.60-2.75
Cu: 0.0000 0.5000 0.0000  2 Cu 2.50, 8 Pd 2.60-2.75
Cu: 0.5000 0.0000 0.0000  2 Cu 2.50, 8 Pd 2.60-2.75
Cu: 0.5000 0.5000 0.5000  2 Cu 2.50, 8 Pd 2.60-2.75
Pd: 0.0000 0.3520 0.3520  5 Pd 2.68-2.86, 4 Cu 2.75
Pd: 0.0000 0.6480 0.6480  5 Pd 2.68-2.86, 4 Cu 2.75
Pd: 0.2783 0.5000 0.7783  4 Cu 2.60, 6 Pd 2.77-2.86
Pd: 0.3520 0.0000 0.3520  5 Pd 2.68-2.86, 4 Cu 2.75
Pd: 0.5000 0.2783 0.7783  4 Cu 2.60, 6 Pd 2.77-2.86
Pd: 0.5000 0.7217 0.2217  4 Cu 2.60, 6 Pd 2.77-2.86
Pd: 0.6480 0.0000 0.6480  5 Pd 2.68-2.86, 4 Cu 2.75
Pd: 0.7217 0.5000 0.2217  4 Cu 2.60, 6 Pd 2.77-2.86

energy relative to the elements = -0.22 eV/atom
magnetization = 0.00 μB/f.u.
SG = I4/mmm, No. 139
volume = 205.6 Å³/f.u.
crystal system = tetragonal

# 4
SnSb3Pb12 | PBE | relaxed

Unit cell a=5.0851 b=5.0851 c=19.0187 alpha=90.00 beta=90.00 gamma=90.00
Last column: nearest neighbours and their distance in Å.
Atoms (fractional coordinates):
Sn: 0.0000 0.0000 0.0000  12 Pb 3.48-3.60
Sb: 0.0000 0.0000 0.2513  12 Pb 3.46-3.60
Sb: 0.0000 0.0000 0.5000  12 Pb 3.48-3.60
Sb: 0.0000 0.0000 0.7487  12 Pb 3.46-3.60
Pb: 0.0000 0.5000 0.1246  8 Pb 3.47-3.60, 2 Sn 3.48, 2 Sb 3.50
Pb: 0.0000 0.5000 0.3750  4 Sb 3.46-3.48, 8 Pb 3.48-3.60
Pb: 0.0000 0.5000 0.6250  4 Sb 3.46-3.48, 8 Pb 3.48-3.60
Pb: 0.0000 0.5000 0.8754  8 Pb 3.47-3.60, 2 Sn 3.48, 2 Sb 3.50
Pb: 0.5000 0.0000 0.1246  8 Pb 3.47-3.60, 2 Sn 3.48, 2 Sb 3.50
Pb: 0.5000 0.0000 0.3750  4 Sb 3.46-3.48, 8 Pb 3.48-3.60
Pb: 0.5000 0.0000 0.6250  4 Sb 3.46-3.48, 8 Pb 3.48-3.60
Pb: 0.5000 0.0000 0.8754  8 Pb 3.47-3.60, 2 Sn 3.48, 2 Sb 3.50
Pb: 0.5000 0.5000 0.0000  8 Pb 3.48, 4 Sn 3.60
Pb: 0.5000 0.5000 0.2487  8 Pb 3.47-3.50, 4 Sb 3.60
Pb: 0.5000 0.5000 0.5000  8 Pb 3.48, 4 Sb 3.60
Pb: 0.5000 0.5000 0.7513  8 Pb 3.47-3.50, 4 Sb 3.60

magnetization = 0.00 μB/f.u.
SG = P4/mmm, No. 123
volume = 491.8 Å³/f.u.
crystal system = tetragonal
formation energy from raw total energies = 0.034 eV/atom

# 5
CuNi10B3 | PBE | relaxed

Unit cell a=7.3687 b=7.3687 c=7.3687 alpha=60.00 beta=60.00 gamma=60.00
Last column: nearest neighbours and their distance in Å.
Atoms (fractional coordinates):
Cu: 0.2500 0.2500 0.2500  4 Ni 2.39
Cu: 0.7500 0.7500 0.7500  4 Ni 2.39
Ni: 0.0000 0.0000 0.3351  2 B 2.07
Ni: 0.0000 0.0000 0.6649  2 B 2.07
Ni: 0.0000 0.3351 0.0000  2 B 2.07
Ni: 0.0000 0.3351 0.6649  2 B 2.07
Ni: 0.0000 0.6649 0.0000  2 B 2.07
Ni: 0.0000 0.6649 0.3351  2 B 2.07
Ni: 0.1467 0.6178 0.6178  3 B 2.07
Ni: 0.3351 0.0000 0.0000  2 B 2.07
Ni: 0.3351 0.0000 0.6649  2 B 2.07
Ni: 0.3351 0.6649 0.0000  2 B 2.07
Ni: 0.3822 0.3822 0.3822  3 B 2.07
Ni: 0.3822 0.3822 0.8533  3 B 2.07
Ni: 0.3822 0.8533 0.3822  3 B 2.07
Ni: 0.6178 0.1467 0.6178  3 B 2.07
Ni: 0.6178 0.6178 0.1467  3 B 2.07
Ni: 0.6178 0.6178 0.6178  3 B 2.07
Ni: 0.6649 0.0000 0.0000  2 B 2.07
Ni: 0.6649 0.0000 0.3351  2 B 2.07
Ni: 0.6649 0.3351 0.0000  2 B 2.07
Ni: 0.8533 0.3822 0.3822  3 B 2.07
B: 0.2734 0.2734 0.7266  8 Ni 2.07
B: 0.2734 0.7266 0.2734  8 Ni 2.07
B: 0.2734 0.7266 0.7266  8 Ni 2.07
B: 0.7266 0.2734 0.2734  8 Ni 2.07
B: 0.7266 0.2734 0.7266  8 Ni 2.07
B: 0.7266 0.7266 0.2734  8 Ni 2.07

energy relative to the elements = -0.17 eV/atom
magnetization = 0.87 μB/f.u.
SG = Fm-3m, No. 225
volume = 141.5 Å³/f.u.
crystal system = cubic

# 6
Dy12Y5Sc2 | PBE | relaxed

Unit cell a=8.9702 b=8.9702 c=8.5419 alpha=92.33 beta=92.33 gamma=60.65
Last column: nearest neighbours and their distance in Å.
Atoms (fractional coordinates):
Dy: 0.0554 0.0554 0.3383  7 Dy 3.32-3.58, 2 Sc 3.34, 2 Y 3.34-3.61
Dy: 0.0655 0.6748 0.3172  4 Y 3.36-3.72, 5 Dy 3.36-3.58, 1 Sc 3.46
Dy: 0.1712 0.5355 0.7648  1 Sc 3.26, 4 Dy 3.30-3.59, 2 Y 3.49-3.53
Dy: 0.3252 0.9345 0.6828  4 Y 3.36-3.72, 5 Dy 3.36-3.58, 1 Sc 3.46
Dy: 0.4259 0.4259 0.1208  3 Dy 3.16-3.36, 2 Y 3.38-3.48, 2 Sc 3.40
Dy: 0.4645 0.8288 0.2352  1 Sc 3.26, 4 Dy 3.30-3.59, 2 Y 3.49-3.53
Dy: 0.5355 0.1712 0.7648  1 Sc 3.26, 4 Dy 3.30-3.59, 2 Y 3.49-3.53
Dy: 0.5741 0.5741 0.8792  3 Dy 3.16-3.36, 2 Y 3.38-3.48, 2 Sc 3.40
Dy: 0.6748 0.0655 0.3172  4 Y 3.36-3.72, 5 Dy 3.36-3.58, 1 Sc 3.46
Dy: 0.8288 0.4645 0.2352  1 Sc 3.26, 4 Dy 3.30-3.59, 2 Y 3.49-3.53
Dy: 0.9345 0.3252 0.6828  4 Y 3.36-3.72, 5 Dy 3.36-3.58, 1 Sc 3.46
Dy: 0.9446 0.9446 0.6617  7 Dy 3.32-3.58, 2 Sc 3.34, 2 Y 3.34-3.61
Y: 0.2048 0.2048 0.0260  8 Dy 3.48-3.67, 2 Sc 3.51, 1 Y 3.57
Y: 0.2673 0.2673 0.4336  8 Dy 3.34-3.71, 2 Y 3.57-3.62
Y: 0.5000 0.5000 0.5000  10 Dy 3.38-3.72, 2 Y 3.62
Y: 0.7327 0.7327 0.5664  8 Dy 3.34-3.71, 2 Y 3.57-3.62
Y: 0.7952 0.7952 0.9740  8 Dy 3.48-3.67, 2 Sc 3.51, 1 Y 3.57
Sc: 0.1675 0.8325 0.0000  1 Sc 3.03, 4 Dy 3.26-3.34
Sc: 0.8325 0.1675 0.0000  1 Sc 3.03, 4 Dy 3.26-3.34

energy relative to the elements = 0.12 eV/atom
magnetization = 0.00 μB/f.u.
SG = C2/m, No. 12
volume = 598.4 Å³/f.u.
crystal system = monoclinic

# 7
RbCa2CeCl8 | PBE | relaxed

Unit cell a=6.5744 b=8.7980 c=6.7747 alpha=90.00 beta=90.53 gamma=90.00
Last column: nearest neighbours and their distance in Å.
Atoms (fractional coordinates):
Rb: 0.0000 0.0000 0.0000  6 Cl 3.13-3.19
Ca: 0.5000 0.2451 0.5000  6 Cl 2.73-2.94
Ca: 0.5000 0.7549 0.5000  6 Cl 2.73-2.94
Ce: 0.0000 0.5000 0.0000  6 Cl 2.75-2.87
Cl: 0.2395 0.2842 0.1811  1 Ce 2.75, 1 Ca 2.77
Cl: 0.2395 0.7158 0.1811  1 Ce 2.75, 1 Ca 2.77
Cl: 0.2773 0.5000 0.6760  1 Ce 2.87, 2 Ca 2.94
Cl: 0.2887 0.0000 0.6350  2 Ca 2.73
Cl: 0.7113 0.0000 0.3650  2 Ca 2.73
Cl: 0.7227 0.5000 0.3240  1 Ce 2.87, 2 Ca 2.94
Cl: 0.7605 0.2842 0.8189  1 Ce 2.75, 1 Ca 2.77
Cl: 0.7605 0.7158 0.8189  1 Ce 2.75, 1 Ca 2.77

magnetization = 1.00 μB/f.u.
SG = P2/m, No. 10
volume = 391.8 Å³/f.u.
crystal system = monoclinic
formation energy from raw total energies = -2.233 eV/atom

# 8
Ir2C | PBE | relaxed

Unit cell a=5.8063 b=5.8063 c=3.8693 alpha=90.00 beta=90.00 gamma=120.00
Last column: nearest neighbours and their distance in Å.
Atoms (fractional coordinates):
Ir: 0.0000 0.3156 0.0000  2 C 1.99
Ir: 0.0000 0.6568 0.5000  1 C 1.99
Ir: 0.3156 0.0000 0.0000  2 C 1.99
Ir: 0.3432 0.3432 0.5000  1 C 1.99
Ir: 0.6568 0.0000 0.5000  1 C 1.99
Ir: 0.6844 0.6844 0.0000  2 C 1.99
C: 0.0000 0.0000 0.5000  3 Ir 1.99
C: 0.3333 0.6667 0.0000  3 Ir 1.99
C: 0.6667 0.3333 0.0000  3 Ir 1.99

energy relative to the elements = 0.74 eV/atom
ΔE to the lowest computed polymorph = 184 meV/atom
magnetization = 0.00 μB/f.u.
SG = P-62m, No. 189
volume = 37.7 Å³/f.u.
crystal system = hexagonal

# 9
Hf9Ti4In11 | PBE | relaxed

Unit cell a=13.7753 b=13.7753 c=3.0638 alpha=90.00 beta=90.00 gamma=118.46
Last column: nearest neighbours and their distance in Å.
Atoms (fractional coordinates):
Hf: 0.0000 0.0000 0.0000  2 Hf 3.06, 4 In 3.26, 4 Ti 3.41
Hf: 0.1116 0.6718 0.0000  1 Ti 3.02, 3 Hf 3.05-3.06, 8 In 3.07-3.19
Hf: 0.3008 0.4691 0.0000  1 Ti 2.97, 8 In 2.99-3.27, 3 Hf 3.06-3.24
Hf: 0.3282 0.8884 0.0000  1 Ti 3.02, 3 Hf 3.05-3.06, 8 In 3.07-3.19
Hf: 0.4691 0.3008 0.0000  1 Ti 2.97, 8 In 2.99-3.27, 3 Hf 3.06-3.24
Hf: 0.5309 0.6992 0.0000  1 Ti 2.97, 8 In 2.99-3.27, 3 Hf 3.06-3.24
Hf: 0.6718 0.1116 0.0000  1 Ti 3.02, 3 Hf 3.05-3.06, 8 In 3.07-3.19
Hf: 0.6992 0.5309 0.0000  1 Ti 2.97, 8 In 2.99-3.27, 3 Hf 3.06-3.24
Hf: 0.8884 0.3282 0.0000  1 Ti 3.02, 3 Hf 3.05-3.06, 8 In 3.07-3.19
Ti: 0.0767 0.2746 0.0000  6 In 2.93-2.96, 2 Hf 2.97-3.02, 2 Ti 3.06
Ti: 0.2746 0.0767 0.0000  6 In 2.93-2.96, 2 Hf 2.97-3.02, 2 Ti 3.06
Ti: 0.7254 0.9233 0.0000  6 In 2.93-2.96, 2 Hf 2.97-3.02, 2 Ti 3.06
Ti: 0.9233 0.7254 0.0000  6 In 2.93-2.96, 2 Hf 2.97-3.02, 2 Ti 3.06
In: 0.1036 0.4687 0.5000  2 Ti 2.95, 3 In 3.01-3.06, 6 Hf 3.07-3.15
In: 0.1216 0.8784 0.5000  4 Ti 2.96, 2 In 3.06, 6 Hf 3.18-3.26
In: 0.2364 0.2364 0.5000  4 Ti 2.93, 2 In 3.06, 4 Hf 3.27
In: 0.3189 0.6811 0.5000  4 In 3.01-3.06, 8 Hf 3.19-3.20
In: 0.4687 0.1036 0.5000  2 Ti 2.95, 3 In 3.01-3.06, 6 Hf 3.07-3.15
In: 0.5000 0.5000 0.5000  8 Hf 2.99, 2 In 3.06
In: 0.5313 0.8964 0.5000  2 Ti 2.95, 3 In 3.01-3.06, 6 Hf 3.07-3.15
In: 0.6811 0.3189 0.5000  4 In 3.01-3.06, 8 Hf 3.19-3.20
In: 0.7636 0.7636 0.5000  4 Ti 2.93, 2 In 3.06, 4 Hf 3.27
In: 0.8784 0.1216 0.5000  4 Ti 2.96, 2 In 3.06, 6 Hf 3.18-3.26
In: 0.8964 0.5313 0.5000  2 Ti 2.95, 3 In 3.01-3.06, 6 Hf 3.07-3.15

energy relative to the elements = -0.03 eV/atom
magnetization = 3.77 μB/f.u.
SG = Cmmm, No. 65
volume = 511.1 Å³/f.u.
crystal system = orthorhombic

# 10
Si4PtCl | PBE | relaxed

Unit cell a=5.1952 b=5.1952 c=5.1952 alpha=60.00 beta=60.00 gamma=60.00
Last column: nearest neighbours and their distance in Å.
Atoms (fractional coordinates):
Si: 0.3757 0.3757 0.3757  6 Si 2.58-2.61
Si: 0.3757 0.3757 0.8728  6 Si 2.58-2.61
Si: 0.3757 0.8728 0.3757  6 Si 2.58-2.61
Si: 0.8728 0.3757 0.3757  6 Si 2.58-2.61
Pt: 0.0000 0.0000 0.0000  12 Si 3.05, 4 Cl 3.18
Cl: 0.7500 0.7500 0.7500  12 Si 3.04, 4 Pt 3.18

magnetization = 0.00 μB/f.u.
SG = F-43m, No. 216
volume = 99.2 Å³/f.u.
crystal system = cubic
formation energy from raw total energies = 0.566 eV/atom

# 11
BiTe2PbN | PBE | relaxed

Unit cell a=6.0238 b=6.0238 c=4.4088 alpha=90.00 beta=90.00 gamma=90.00
Last column: nearest neighbours and their distance in Å.
Atoms (fractional coordinates):
Bi: 0.0000 0.0000 0.0000  2 N 2.20
Te: 0.0000 0.5000 0.0000  2 Bi 3.01
Te: 0.5000 0.0000 0.0000  2 Bi 3.01
Pb: 0.5000 0.5000 0.5000  8 Te 3.73
N: 0.0000 0.0000 0.5000  2 Bi 2.20

ΔE to the lowest computed polymorph = 0 meV/atom
magnetization = 1.40 μB/f.u.
SG = P4/mmm, No. 123
volume = 160.0 Å³/f.u.
crystal system = tetragonal
formation energy from raw total energies = 0.730 eV/atom

# 12
ThSnHgN | PBE | relaxed

Unit cell a=4.1877 b=4.1877 c=11.1703 alpha=90.00 beta=90.00 gamma=90.00
Last column: nearest neighbours and their distance in Å.
Atoms (fractional coordinates):
Th: 0.2500 0.2500 0.0987  4 N 2.37
Th: 0.7500 0.7500 0.9013  4 N 2.37
Sn: 0.2500 0.7500 0.5000  4 Sn 2.96, 4 Hg 3.28
Sn: 0.7500 0.2500 0.5000  4 Sn 2.96, 4 Hg 3.28
Hg: 0.2500 0.2500 0.7255  4 Sn 3.28, 4 Th 3.55
Hg: 0.7500 0.7500 0.2745  4 Sn 3.28, 4 Th 3.55
N: 0.2500 0.7500 0.0000  4 Th 2.37
N: 0.7500 0.2500 0.0000  4 Th 2.37

magnetization = 0.00 μB/f.u.
SG = P4/nmm, No. 129
volume = 97.9 Å³/f.u.
crystal system = tetragonal
formation energy from raw total energies = -0.856 eV/atom